A plane-wave DFT calculation with meta-GGA SCAN was carried out for a crystal of Co5Rh relaxed with PBEsol.

* raw total energy: -120.092 eV/f.u.
* formation energy: 0.033 eV per atom
* DOS at the Fermi energy: 4.6 states/eV/f.u.

Cell lengths 2.5241, 5.0087, 5.5181 Å; angles 103.06, 103.22, 90.00 degrees
With the nearest neighbours (Å) after each atom.
Sites, in units of the cell vectors:
Co 0.8281 0.6715 0.6562  10 Co 2.43-2.58, 2 Rh 2.55
Co 0.1719 0.3285 0.3438  10 Co 2.43-2.58, 2 Rh 2.55
Co 0.1694 0.8430 0.3388  10 Co 2.41-2.58, 2 Rh 2.53
Co 0.5000 0.0000 0.0000  10 Co 2.49-2.52, 2 Rh 2.50
Co 0.8306 0.1570 0.6612  10 Co 2.41-2.58, 2 Rh 2.53
Rh 0.5000 0.5000 0.0000  10 Co 2.50-2.55, 2 Rh 2.52